Record 1
# Ho3Tl3Cd

An optimized crystal structure of Ho3Tl3Cd (PBE-GGA, Alexandria via LeMat-Bulk).

D(E_F) in states/eV/cell: 9.36
Energy relative to the lowest polymorph listed for this composition in eV/atom: 0.073
VASP energy in eV per cell: -46.1
Space-group type: P6_3/m
Formation energy from the elements in eV per atom: -0.18

a = 5.426 Å, b = 9.013 Å, c = 9.013 Å
α = 120.00°, β = 90.00°, γ = 90.00°
Positions (direct):
Tl  0.250  0.803  0.750
Tl  0.750  0.750  0.947
Tl  0.750  0.197  0.250
Tl  0.250  0.947  0.197
Tl  0.250  0.250  0.053
Tl  0.750  0.053  0.803
Ho  0.750  0.899  0.353
Ho  0.250  0.101  0.647
Ho  0.750  0.454  0.101
Ho  0.250  0.353  0.454
Ho  0.750  0.647  0.546
Ho  0.250  0.546  0.899
Cd  0.750  0.333  0.667
Cd  0.250  0.667  0.333



Record 2
# KPa3P4N12

An optimized crystal structure of KPa3P4N12 (PBE-GGA, Alexandria via LeMat-Bulk).

E_form (uncorrected) in eV/atom: -0.790
D(E_F) in states/eV/cell: 0.00
VASP energy in eV per cell: -166.9
Space-group type: R32

a = 7.009 Å, b = 7.009 Å, c = 7.009 Å
α = 102.44°, β = 102.44°, γ = 102.44°
Positions (direct):
N  0.772  0.011  0.602
N  0.645  0.500  0.355
N  0.602  0.772  0.011
N  0.097  0.903  0.500
N  0.011  0.602  0.772
N  0.500  0.355  0.645
N  0.500  0.097  0.903
N  0.355  0.645  0.500
N  0.903  0.500  0.097
N  0.228  0.398  0.989
N  0.398  0.989  0.228
N  0.989  0.228  0.398
Pa  0.000  0.547  0.453
Pa  0.453  0.000  0.547
Pa  0.547  0.453  0.000
P  0.951  0.049  0.500
P  0.049  0.500  0.951
P  0.500  0.951  0.049
P  0.500  0.500  0.500
K  0.000  0.000  0.000



Record 3
# FeNiPt4

An optimized crystal structure of FeNiPt4 (PBE-GGA, Alexandria via LeMat-Bulk).

D(E_F) in states/eV/cell: 14.30
Energy relative to the lowest polymorph listed for this composition in eV/atom: 0.000
VASP energy in eV per cell: -77.6
Space-group type: Pmma
Formation energy from the elements in eV per atom: -0.06

a = 2.718 Å, b = 7.444 Å, c = 8.742 Å
α = 90.00°, β = 90.00°, γ = 90.00°
Positions (direct):
Pt  0.500  0.328  0.024
Pt  0.500  0.858  0.250
Pt  0.500  0.672  0.976
Pt  0.500  0.328  0.476
Pt  0.500  0.672  0.524
Pt  0.000  0.000  0.000
Pt  0.000  0.000  0.500
Pt  0.500  0.142  0.750
Ni  0.000  0.473  0.750
Ni  0.000  0.527  0.250
Fe  0.000  0.191  0.250
Fe  0.000  0.809  0.750